PBE with a Hubbard U Tl2CoMoF6, optimized geometry; mass density = 6.603 g/cm³; VASP energy = -95.4 eV/cell
1.0
-5.511 1.512 -1.756
0.241 -4.179 -4.356
-3.639 -6.382 5.922
Mo Tl F Co
2 4 12 2
Direct
0.500 0.222 0.500 Mo
0.000 0.778 0.000 Mo
0.500 0.740 0.752 Tl
0.000 0.260 0.748 Tl
0.500 0.740 0.248 Tl
0.000 0.260 0.252 Tl
0.744 0.525 0.000 F
0.256 0.029 0.000 F
0.756 0.971 0.500 F
0.500 0.286 0.787 F
0.000 0.714 0.287 F
0.500 0.286 0.213 F
0.000 0.714 0.713 F
0.256 0.525 0.000 F
0.744 0.029 0.000 F
0.244 0.475 0.500 F
0.756 0.475 0.500 F
0.244 0.971 0.500 F
0.500 0.275 0.000 Co
0.000 0.725 0.500 Co